Arrangement one

The following is a DFT calculation (PBE) of SnOF3 after structural relaxation.

a b c (Å): 4.2269 4.2269 4.2269
angles (deg): 90.00 90.00 90.00
Closest atoms and distances in Å follow each position.
Element x y z (fractional)
Sn 0.0000 0.0000 0.0000  6 F 2.11
O 0.5000 0.5000 0.5000  12 F 2.99
F 0.0000 0.0000 0.5000  2 Sn 2.11
F 0.0000 0.5000 0.0000  2 Sn 2.11
F 0.5000 0.0000 0.0000  2 Sn 2.11

Results
Fermi-level density of states (states/eV/cell): 14.90

---

Arrangement two

The following is a DFT calculation (PBE) of SnOF3 after structural relaxation.

a b c (Å): 4.0247 4.0247 4.0247
angles (deg): 90.00 90.00 90.00
Closest atoms and distances in Å follow each position.
Element x y z (fractional)
Sn 0.0000 0.0000 0.0000  12 F 2.85
O 0.5000 0.5000 0.5000  6 F 2.01
F 0.0000 0.5000 0.5000  2 O 2.01
F 0.5000 0.0000 0.5000  2 O 2.01
F 0.5000 0.5000 0.0000  2 O 2.01

Results
Fermi-level density of states (states/eV/cell): 1.62

---

Verdict on stability: arrangement one comes out on top.

---

Arrangement one

The following is a DFT calculation (PBE) of SnOF2 after structural relaxation.

a b c (Å): 5.8577 5.8577 5.8577
angles (deg): 90.00 90.00 90.00
Closest atoms and distances in Å follow each position.
Element x y z (fractional)
Sn 0.0000 0.0000 0.0000  8 F 2.54
Sn 0.0000 0.5000 0.5000  8 F 2.54
Sn 0.5000 0.0000 0.5000  8 F 2.54
Sn 0.5000 0.5000 0.0000  8 F 2.54
O 0.0000 0.0000 0.5000  8 F 2.54
O 0.0000 0.5000 0.0000  8 F 2.54
O 0.5000 0.0000 0.0000  8 F 2.54
O 0.5000 0.5000 0.5000  8 F 2.54
F 0.2500 0.2500 0.2500  4 O 2.54, 4 Sn 2.54
F 0.2500 0.2500 0.7500  4 O 2.54, 4 Sn 2.54
F 0.2500 0.7500 0.2500  4 O 2.54, 4 Sn 2.54
F 0.2500 0.7500 0.7500  4 O 2.54, 4 Sn 2.54
F 0.7500 0.2500 0.2500  4 O 2.54, 4 Sn 2.54
F 0.7500 0.2500 0.7500  4 O 2.54, 4 Sn 2.54
F 0.7500 0.7500 0.2500  4 O 2.54, 4 Sn 2.54
F 0.7500 0.7500 0.7500  4 O 2.54, 4 Sn 2.54

Results
Fermi-level density of states (states/eV/cell): 22.68

---

Arrangement two

The following is a DFT calculation (PBE) of SnOF2 after structural relaxation.

a b c (Å): 3.1540 3.1540 24.7663
angles (deg): 90.00 90.00 120.00
Closest atoms and distances in Å follow each position.
Element x y z (fractional)
Sn 0.0000 0.0000 0.0000  2 F 1.99
Sn 0.3333 0.6667 0.6667  2 F 1.99
Sn 0.6667 0.3333 0.3333  2 F 1.99
O 0.0000 0.0000 0.5000  6 F 2.81
O 0.3333 0.6667 0.1667  6 F 2.81
O 0.6667 0.3333 0.8333  6 F 2.81
F 0.0000 0.0000 0.0802  1 Sn 1.99
F 0.0000 0.0000 0.9198  1 Sn 1.99
F 0.3333 0.6667 0.5865  1 Sn 1.99
F 0.3333 0.6667 0.7469  1 Sn 1.99
F 0.6667 0.3333 0.2531  1 Sn 1.99
F 0.6667 0.3333 0.4135  1 Sn 1.99

Results
Fermi-level density of states (states/eV/cell): 6.06

---

Verdict on stability: arrangement one comes out on top.

---

Arrangement one

The following is a DFT calculation (PBE) of SnOF2 after structural relaxation.

a b c (Å): 3.4082 3.4082 15.3897
angles (deg): 90.00 90.00 90.00
Closest atoms and distances in Å follow each position.
Element x y z (fractional)
Sn 0.0000 0.0000 0.0000  4 F 2.23, 4 O 2.41
Sn 0.0000 0.5000 0.2500  4 F 2.23, 4 O 2.41
Sn 0.5000 0.0000 0.7500  4 F 2.23, 4 O 2.41
Sn 0.5000 0.5000 0.5000  4 F 2.23, 4 O 2.41
O 0.0000 0.0000 0.5000  4 F 2.31, 4 Sn 2.41
O 0.0000 0.5000 0.7500  4 F 2.31, 4 Sn 2.41
O 0.5000 0.0000 0.2500  4 F 2.31, 4 Sn 2.41
O 0.5000 0.5000 0.0000  4 F 2.31, 4 Sn 2.41
F 0.2201 0.2500 0.1250  2 Sn 2.23, 2 F 2.27, 2 O 2.31
F 0.2500 0.7201 0.3750  2 Sn 2.23, 2 F 2.27, 2 O 2.31
F 0.2500 0.7799 0.8750  2 Sn 2.23, 2 F 2.27, 2 O 2.31
F 0.2799 0.2500 0.6250  2 Sn 2.23, 2 F 2.27, 2 O 2.31
F 0.7201 0.7500 0.6250  2 Sn 2.23, 2 F 2.27, 2 O 2.31
F 0.7500 0.2201 0.8750  2 Sn 2.23, 2 F 2.27, 2 O 2.31
F 0.7500 0.2799 0.3750  2 Sn 2.23, 2 F 2.27, 2 O 2.31
F 0.7799 0.7500 0.1250  2 Sn 2.23, 2 F 2.27, 2 O 2.31

Results
Fermi-level density of states (states/eV/cell): 2.07

---

Arrangement two

The following is a DFT calculation (PBE) of SnOF2 after structural relaxation.

a b c (Å): 3.8845 3.8845 20.6699
angles (deg): 90.00 90.00 120.00
Closest atoms and distances in Å follow each position.
Element x y z (fractional)
Sn 0.0000 0.0000 0.0000  6 F 2.42
Sn 0.3333 0.6667 0.6667  6 F 2.42
Sn 0.6667 0.3333 0.3333  6 F 2.42
O 0.0000 0.0000 0.5000  2 F 2.54
O 0.3333 0.6667 0.1667  2 F 2.54
O 0.6667 0.3333 0.8333  2 F 2.54
F 0.0000 0.0000 0.3773  3 Sn 2.42, 1 O 2.54
F 0.0000 0.0000 0.6227  3 Sn 2.42, 1 O 2.54
F 0.3333 0.6667 0.0439  3 Sn 2.42, 1 O 2.54
F 0.3333 0.6667 0.2894  3 Sn 2.42, 1 O 2.54
F 0.6667 0.3333 0.7106  3 Sn 2.42, 1 O 2.54
F 0.6667 0.3333 0.9561  3 Sn 2.42, 1 O 2.54

Results
Fermi-level density of states (states/eV/cell): 20.49

---

Verdict on stability: arrangement one comes out on top.

---

Arrangement one

The following is a DFT calculation (PBE) of SrSnOF2 after structural relaxation.

a b c (Å): 4.5193 4.5193 4.9555
angles (deg): 90.00 90.00 90.00
Closest atoms and distances in Å follow each position.
Element x y z (fractional)
Sr 0.0000 0.0000 0.0000  4 F 2.26, 2 O 2.48
Sn 0.5000 0.5000 0.5000  4 O 3.20, 8 F 3.35
O 0.0000 0.0000 0.5000  2 Sr 2.48
F 0.0000 0.5000 0.0000  2 Sr 2.26
F 0.5000 0.0000 0.0000  2 Sr 2.26

Results
Fermi-level density of states (states/eV/cell): 0.00

---

Arrangement two

The following is a DFT calculation (PBE) of SrSnOF2 after structural relaxation.

a b c (Å): 4.5929 4.5929 4.5600
angles (deg): 90.00 90.00 90.00
Closest atoms and distances in Å follow each position.
Element x y z (fractional)
Sr 0.0000 0.0000 0.0000  8 F 3.24, 4 O 3.25
Sn 0.5000 0.5000 0.5000  2 O 2.28, 4 F 2.30
O 0.5000 0.5000 0.0000  2 Sn 2.28
F 0.0000 0.5000 0.5000  2 Sn 2.30
F 0.5000 0.0000 0.5000  2 Sn 2.30

Results
Fermi-level density of states (states/eV/cell): 0.11

---

Verdict on stability: arrangement two comes out on top.